The following is a GGA-PBE calculation of crystalline SrBiP2O8 at its relaxed geometry, from the Alexandria database.

Computed properties:
size of the total moment: 0.01 μB per formula unit
total energy: -6.80 eV per atom
density: 4.53 Mg/m³
density of states at the Fermi level: 0.50 states/eV/atom
energy above the lowest structure with this stoichiometry: 0.000 eV per atom
volume: 14.87 Å³/atom
SG: P-3, No. 147

Cell lengths 5.151, 5.151, 7.767 Å; angles 90.00, 90.00, 120.00 degrees
Positions (direct):
P1 0.667 0.333 0.235
O1 0.355 0.276 0.298
O2 0.667 0.333 0.038
P2 0.333 0.667 0.765
O3 0.645 0.724 0.702
O4 0.724 0.078 0.298
O5 0.078 0.355 0.702
Sr1 0.000 0.000 0.000
Bi1 0.000 0.000 0.500
O6 0.922 0.645 0.298
O7 0.276 0.922 0.702
O8 0.333 0.667 0.962



The following is a GGA-PBE calculation of crystalline Mg3NbCo8 at its relaxed geometry, from the Alexandria database.

Computed properties:
size of the total moment: 8.89 μB per formula unit
total energy: -6.05 eV per atom
density: 6.77 Mg/m³
density of states at the Fermi level: 1.27 states/eV/atom
formation enthalpy at 0 K: -73 meV/atom
volume: 13.02 Å³/atom
SG: P3m1, No. 156

Cell lengths 4.794, 4.794, 7.849 Å; angles 90.00, 90.00, 120.00 degrees
Site moments in Bohr magnetons follow the coordinates.
Positions (direct):
Mg1 0.667 0.333 0.061  -0.03
Co1 0.674 0.837 0.253  1.37
Co2 0.163 0.837 0.253  1.37
Co3 0.504 0.008 0.745  1.04
Nb1 0.000 0.000 0.575  -0.40
Co4 0.504 0.496 0.745  1.04
Co5 0.163 0.326 0.253  1.37
Co6 0.992 0.496 0.745  1.04
Co7 0.333 0.667 0.996  1.39
Mg2 0.667 0.333 0.432  -0.02
Co8 0.333 0.667 0.498  1.17
Mg3 0.000 0.000 0.944  -0.02



Which value of volume does entry 2 give?
13.02 Å³/atom



Which formula does entry 1 have?
SrBiP2O8



What did the second record say?
The following is a GGA-PBE calculation of crystalline Mg3NbCo8 at its relaxed geometry, from the Alexandria database.

Computed properties:
size of the total moment: 8.89 μB per formula unit
total energy: -6.05 eV per atom
density: 6.77 Mg/m³
density of states at the Fermi level: 1.27 states/eV/atom
formation enthalpy at 0 K: -73 meV/atom
volume: 13.02 Å³/atom
SG: P3m1, No. 156

Cell lengths 4.794, 4.794, 7.849 Å; angles 90.00, 90.00, 120.00 degrees
Site moments in Bohr magnetons follow the coordinates.
Positions (direct):
Mg1 0.667 0.333 0.061  -0.03
Co1 0.674 0.837 0.253  1.37
Co2 0.163 0.837 0.253  1.37
Co3 0.504 0.008 0.745  1.04
Nb1 0.000 0.000 0.575  -0.40
Co4 0.504 0.496 0.745  1.04
Co5 0.163 0.326 0.253  1.37
Co6 0.992 0.496 0.745  1.04
Co7 0.333 0.667 0.996  1.39
Mg2 0.667 0.333 0.432  -0.02
Co8 0.333 0.667 0.498  1.17
Mg3 0.000 0.000 0.944  -0.02